[1]
Entry from Alexandria via LeMat-Bulk: an optimized crystal structure of PmPrAgSb (PBE-GGA).

formation energy from raw total energies: -0.606 eV per atom

Lattice parameters (Å, degrees): 5.383 5.383 5.383 60.00 60.00 60.00
Atoms (fractional coordinates):
Pr 0.500 0.500 0.500
Sb 0.750 0.750 0.750
Ag 0.250 0.250 0.250
Pm 0.000 0.000 0.000



[2]
Entry from Alexandria via LeMat-Bulk: an optimized crystal structure of Pm4AlZn2Cu (PBE-GGA).

DFT formation energy: -0.28 eV per atom

Lattice parameters (Å, degrees): 5.155 5.155 8.944 73.25 73.25 60.00
Atoms (fractional coordinates):
Pm 0.378 0.378 0.865
Pm 0.872 0.872 0.383
Pm 0.128 0.128 0.617
Pm 0.622 0.622 0.135
Al 0.000 0.000 0.000
Zn 0.746 0.746 0.762
Zn 0.254 0.254 0.238
Cu 0.500 0.500 0.500



[3]
Entry from Alexandria via LeMat-Bulk: an optimized crystal structure of Cs2SrHgBr6 (PBE-GGA).

energy relative to the lowest polymorph listed for this composition: 0.00 eV/f.u.
formation energy from raw total energies: -1.481 eV per atom

Lattice parameters (Å, degrees): 8.164 8.255 11.645 90.00 90.41 90.00
Atoms (fractional coordinates):
Cs 0.011 0.954 0.249
Cs 0.511 0.546 0.749
Cs 0.989 0.046 0.751
Cs 0.489 0.454 0.251
Sr 0.500 0.000 0.000
Sr 0.000 0.500 0.500
Hg 0.500 0.000 0.500
Hg 0.000 0.500 0.000
Br 0.279 0.705 0.032
Br 0.779 0.795 0.532
Br 0.721 0.295 0.968
Br 0.221 0.205 0.468
Br 0.296 0.720 0.468
Br 0.796 0.780 0.968
Br 0.704 0.280 0.532
Br 0.204 0.220 0.032
Br 0.939 0.504 0.242
Br 0.439 0.996 0.742
Br 0.061 0.496 0.758
Br 0.561 0.004 0.258



[4]
Entry from Alexandria via LeMat-Bulk: an optimized crystal structure of PrY3Ho2S6 (PBE-GGA).

formation energy from raw total energies: -1.992 eV per atom

Lattice parameters (Å, degrees): 6.832 6.832 6.817 99.59 99.59 120.16
Atoms (fractional coordinates):
Pr 0.000 0.000 0.000
Y 0.161 0.839 0.500
Y 0.839 0.161 0.500
Y 0.500 0.500 0.500
Ho 0.334 0.666 0.000
Ho 0.666 0.334 0.000
S 0.915 0.570 0.745
S 0.738 0.738 0.251
S 0.085 0.430 0.255
S 0.570 0.915 0.745
S 0.262 0.262 0.749
S 0.430 0.085 0.255



[5]
Entry from Alexandria via LeMat-Bulk: an optimized crystal structure of PrSiNiN (PBE-GGA).

formation energy from raw total energies: -1.049 eV per atom

Lattice parameters (Å, degrees): 3.792 3.792 8.347 90.00 90.00 90.00
Atoms (fractional coordinates):
Pr 0.000 0.500 0.840
Pr 0.500 0.000 0.160
Si 0.000 0.500 0.346
Si 0.500 0.000 0.654
Ni 0.000 0.000 0.500
Ni 0.500 0.500 0.500
N 0.500 0.000 0.866
N 0.000 0.500 0.134



[6]
Entry from Alexandria via LeMat-Bulk: an optimized crystal structure of TiP3Ir (PBE-GGA).

DFT formation energy: 0.89 eV per atom
energy relative to the lowest polymorph listed for this composition: 0.92 eV/f.u.

Lattice parameters (Å, degrees): 4.570 4.570 4.570 90.00 90.00 90.00
Atoms (fractional coordinates):
P 0.000 0.500 0.000
P 0.000 0.000 0.500
P 0.500 0.000 0.000
Ir 0.500 0.500 0.500
Ti 0.000 0.000 0.000



[7]
Entry from Alexandria via LeMat-Bulk: an optimized crystal structure of LiCaBe2 (PBE-GGA).

DFT formation energy: 0.60 eV per atom
energy relative to the lowest polymorph listed for this composition: 1.45 eV/f.u.

Lattice parameters (Å, degrees): 4.372 4.373 3.862 90.00 90.00 90.00
Atoms (fractional coordinates):
Be 0.000 0.000 0.000
Be 0.500 0.500 0.000
Ca 0.500 0.000 0.500
Li 0.000 0.500 0.500



[8]
Entry from Alexandria via LeMat-Bulk: an optimized crystal structure of TaBeTe2 (PBE-GGA).

formation energy from raw total energies: 0.989 eV per atom

Lattice parameters (Å, degrees): 4.883 4.883 4.883 60.00 60.00 60.00
Atoms (fractional coordinates):
Be 0.500 0.500 0.500
Te 0.000 0.000 0.000
Te 0.250 0.250 0.250
Ta 0.750 0.750 0.750



[9]
Entry from Alexandria via LeMat-Bulk: an optimized crystal structure of KNi2Pb (PBE-GGA).

DFT formation energy: 0.48 eV per atom

Lattice parameters (Å, degrees): 4.554 3.316 6.812 85.34 90.00 90.00
Each line ends with the local moment (μB).
Atoms (fractional coordinates):
K 0.500 0.750 0.750  0.00
Ni 0.000 0.007 0.124  0.24
Ni 0.000 0.493 0.376  0.24
Pb 0.500 0.250 0.250  0.00



[10]
Entry from Alexandria via LeMat-Bulk: an optimized crystal structure of RbSrDyCl6 (PBE-GGA).

formation energy from raw total energies: -2.313 eV per atom

Lattice parameters (Å, degrees): 7.387 7.387 13.940 90.00 90.00 120.00
Atoms (fractional coordinates):
Rb 0.000 0.000 0.000
Rb 0.000 0.000 0.500
Sr 0.333 0.667 0.250
Sr 0.667 0.333 0.750
Dy 0.667 0.333 0.250
Dy 0.333 0.667 0.750
Cl 0.642 0.616 0.141
Cl 0.974 0.358 0.141
Cl 0.358 0.974 0.641
Cl 0.026 0.642 0.859
Cl 0.384 0.358 0.359
Cl 0.974 0.616 0.359
Cl 0.616 0.974 0.859
Cl 0.642 0.026 0.359
Cl 0.026 0.384 0.641
Cl 0.384 0.026 0.141
Cl 0.616 0.642 0.641
Cl 0.358 0.384 0.859



[11]
Entry from Alexandria via LeMat-Bulk: an optimized crystal structure of LiHoGa2 (PBE-GGA).

DFT formation energy: -0.47 eV per atom
energy relative to the lowest polymorph listed for this composition: 0.00 eV/f.u.

Lattice parameters (Å, degrees): 4.289 4.283 5.533 112.81 90.00 120.05
Atoms (fractional coordinates):
Li 0.250 0.500 0.750
Ho 0.750 0.500 0.250
Ga 0.962 0.924 0.886
Ga 0.538 0.076 0.614



[12]
Entry from Alexandria via LeMat-Bulk: an optimized crystal structure of Ba3Pd4Pb2 (PBE-GGA).

DFT formation energy: -0.54 eV per atom

Lattice parameters (Å, degrees): 4.801 6.344 9.362 99.12 90.00 112.23
Atoms (fractional coordinates):
Ba 0.374 0.748 0.616
Ba 0.000 0.000 0.000
Ba 0.626 0.252 0.384
Pd 0.739 0.479 0.085
Pd 0.080 0.161 0.632
Pd 0.920 0.839 0.368
Pd 0.261 0.521 0.915
Pb 0.323 0.645 0.219
Pb 0.677 0.355 0.781



[13]
Entry from Alexandria via LeMat-Bulk: an optimized crystal structure of Sr6Ge2N (PBE-GGA).

formation energy from raw total energies: -0.542 eV per atom

Lattice parameters (Å, degrees): 7.290 7.802 10.437 90.00 90.43 90.00
Atoms (fractional coordinates):
Sr 0.905 0.972 0.263
Sr 0.826 0.711 0.549
Sr 0.791 0.676 0.950
Sr 0.709 0.176 0.550
Sr 0.674 0.211 0.951
Sr 0.595 0.472 0.237
Sr 0.095 0.028 0.737
Sr 0.174 0.289 0.451
Sr 0.209 0.324 0.050
Sr 0.291 0.824 0.450
Sr 0.326 0.789 0.049
Sr 0.405 0.528 0.763
Ge 0.979 0.427 0.748
Ge 0.521 0.927 0.752
Ge 0.479 0.073 0.248
Ge 0.021 0.573 0.252
N 0.500 0.500 0.000
N 0.000 0.000 0.500



[14]
Entry from Alexandria via LeMat-Bulk: an optimized crystal structure of GdMo2 (PBE-GGA).

DFT formation energy: 0.21 eV per atom

Lattice parameters (Å, degrees): 3.277 3.277 5.975 105.91 105.91 90.00
Each line ends with the local moment (μB).
Atoms (fractional coordinates):
Mo 0.691 0.691 0.382  -0.01
Mo 0.309 0.309 0.618  -0.01
Gd 0.000 0.000 0.000  7.07



[15]
Entry from Alexandria via LeMat-Bulk: an optimized crystal structure of K2PRh (PBE-GGA).

DFT formation energy: -0.29 eV per atom

Lattice parameters (Å, degrees): 4.067 4.067 9.578 79.95 79.95 57.17
Atoms (fractional coordinates):
K 0.946 0.946 0.112
K 0.806 0.806 0.638
P 0.540 0.540 0.375
Rh 0.208 0.208 0.375



[16]
Entry from Alexandria via LeMat-Bulk: an optimized crystal structure of BeAg2W (PBE-GGA).

DFT formation energy: 0.49 eV per atom

Lattice parameters (Å, degrees): 9.146 9.146 9.146 17.56 17.56 17.56
Atoms (fractional coordinates):
Be 0.250 0.250 0.250
Ag 0.990 0.990 0.990
Ag 0.510 0.510 0.510
W 0.750 0.750 0.750



[17]
Entry from Alexandria via LeMat-Bulk: an optimized crystal structure of CaCr2Ru (PBE-GGA).

DFT formation energy: 0.60 eV per atom
energy relative to the lowest polymorph listed for this composition: 0.89 eV/f.u.

Lattice parameters (Å, degrees): 3.176 4.467 4.684 90.00 90.00 90.00
Each line ends with the local moment (μB).
Atoms (fractional coordinates):
Ru 0.500 0.000 0.500  0.35
Ca 0.000 0.500 0.500  0.05
Cr 0.000 0.000 0.000  -2.71
Cr 0.500 0.500 0.000  3.19



[18]
Entry from Alexandria via LeMat-Bulk: an optimized crystal structure of UBeCo4Si2 (PBE-GGA).

formation energy from raw total energies: -0.518 eV per atom

Lattice parameters (Å, degrees): 3.803 3.803 8.032 76.31 76.31 60.00
Each line ends with the local moment (μB).
Atoms (fractional coordinates):
U 0.000 0.000 0.000  0.51
Be 0.500 0.500 0.500  0.00
Co 0.402 0.402 0.794  -0.05
Co 0.866 0.866 0.401  0.00
Co 0.134 0.134 0.599  0.00
Co 0.598 0.598 0.206  -0.05
Si 0.765 0.765 0.705  0.00
Si 0.235 0.235 0.295  0.00



[19]
Entry from Alexandria via LeMat-Bulk: an optimized crystal structure of Pr2GdAu (PBE-GGA).

DFT formation energy: -0.24 eV per atom
energy relative to the lowest polymorph listed for this composition: 0.42 eV/f.u.

Lattice parameters (Å, degrees): 3.768 3.768 10.578 79.74 79.74 60.00
Each line ends with the local moment (μB).
Atoms (fractional coordinates):
Pr 0.262 0.262 0.215  -0.05
Pr 0.738 0.738 0.785  -0.05
Gd 0.500 0.500 0.500  7.19
Au 0.000 0.000 0.000  -0.02



[20]
Entry from Alexandria via LeMat-Bulk: an optimized crystal structure of USn2Ge2Pt7 (PBE-GGA).

DFT formation energy: -0.53 eV per atom

Lattice parameters (Å, degrees): 3.951 3.951 16.034 82.84 82.84 89.98
Each line ends with the local moment (μB).
Atoms (fractional coordinates):
U 0.000 0.000 0.000  1.45
Sn 0.786 0.786 0.427  0.00
Sn 0.214 0.214 0.573  0.00
Ge 0.622 0.622 0.758  0.00
Ge 0.378 0.378 0.242  0.00
Pt 0.500 0.500 0.000  0.02
Pt 0.302 0.302 0.397  0.00
Pt 0.698 0.698 0.603  0.00
Pt 0.929 0.429 0.140  -0.01
Pt 0.429 0.929 0.140  -0.01
Pt 0.571 0.071 0.860  -0.01
Pt 0.071 0.571 0.860  -0.01



Total moment (computed, μB/f.u.): 0.0, 0.0, 0.0, 0.0, 0.0, 0.0, 0.0, 0.0, 0.5, 0.0, 0.0, 0.0, 1.0, 7.2, 0.0, 0.0, 1.1, 0.5, 7.2, 1.5